# 1
A plane-wave DFT calculation with PBE was carried out for crystalline RbOsAu3 at its relaxed geometry.

Geometry as POSCAR:
```
RbOsAu3
1.0
5.177 0.000 0.000
0.000 5.177 0.000
0.000 0.000 5.177
Os Au Rb
1 3 1
direct
0.000 0.000 0.000 Os
0.000 0.500 0.000 Au
0.000 0.000 0.500 Au
0.500 0.000 0.000 Au
0.500 0.500 0.500 Rb
```

Results
ΔH_f (0 K) = 0.60 eV/atom
Energy = -19.05 eV per cell

# 2
A plane-wave DFT calculation with PBE was carried out for crystalline RbOs3Au at its relaxed geometry.

Geometry as POSCAR:
```
RbOs3Au
1.0
-4.680 0.312 -0.735
-0.782 -0.913 4.593
0.161 4.649 0.951
Os Au Rb
3 1 1
direct
0.000 0.500 0.000 Os
0.000 0.000 0.500 Os
0.500 0.000 0.000 Os
0.500 0.500 0.500 Au
0.000 0.000 0.000 Rb
```

Results
ΔH_f (0 K) = 4.07 eV/atom
Energy = -17.57 eV per cell

# 3
A plane-wave DFT calculation with PBE was carried out for crystalline RbOs3Au at its relaxed geometry.

Geometry as POSCAR:
```
RbOs3Au
1.0
5.099 0.000 0.000
0.000 5.099 0.000
0.000 0.000 5.099
Os Au Rb
3 1 1
direct
0.000 0.500 0.000 Os
0.000 0.000 0.500 Os
0.500 0.000 0.000 Os
0.000 0.000 0.000 Au
0.500 0.500 0.500 Rb
```

Results
ΔH_f (0 K) = 2.74 eV/atom
Energy = -24.25 eV per cell

# 4
A plane-wave DFT calculation with PBE was carried out for crystalline Rb2TaOsAu at its relaxed geometry.

Geometry as POSCAR:
```
Rb2TaOsAu
1.0
-3.598 4.836 1.485
-3.606 -3.237 1.803
2.616 0.219 5.626
Os Au Rb Ta
1 1 2 1
direct
0.500 0.500 0.500 Os
0.000 0.000 0.000 Au
0.000 0.000 0.500 Rb
0.500 0.000 0.000 Rb
0.000 0.500 0.000 Ta
```

Results
ΔH_f (0 K) = 2.17 eV/atom
Energy = -17.45 eV per cell

# 5
A plane-wave DFT calculation with PBE was carried out for crystalline Rb2OsWAu at its relaxed geometry.

Geometry as POSCAR:
```
Rb2OsWAu
1.0
6.431 0.000 0.000
0.000 5.121 0.000
0.000 0.000 6.431
Os Au Rb W
1 1 2 1
direct
0.000 0.500 0.000 Os
0.000 0.000 0.000 Au
0.000 0.000 0.500 Rb
0.500 0.000 0.000 Rb
0.500 0.500 0.500 W
```

Results
ΔH_f (0 K) = 2.24 eV/atom
Energy = -18.22 eV per cell

# 6
A plane-wave DFT calculation with PBE was carried out for crystalline Rb2OsWAu at its relaxed geometry.

Geometry as POSCAR:
```
Rb2OsWAu
1.0
-6.287 2.021 1.505
1.019 -0.541 4.981
2.128 6.425 0.262
Os Au Rb W
1 1 2 1
direct
0.500 0.500 0.500 Os
0.000 0.500 0.000 Au
0.000 0.000 0.500 Rb
0.500 0.000 0.000 Rb
0.000 0.000 0.000 W
```

Results
ΔH_f (0 K) = 2.41 eV/atom
Energy = -17.35 eV per cell

# 7
A plane-wave DFT calculation with PBE was carried out for crystalline ReOsAu at its relaxed geometry.

Geometry as POSCAR:
```
ReOsAu
1.0
6.239 0.009 0.000
4.930 3.824 0.000
-5.584 -1.917 2.017
Au Os Re
1 1 1
direct
0.001 0.001 0.000 Au
0.318 0.318 0.000 Os
0.681 0.681 0.000 Re
```

Results
ΔH_f (0 K) = 0.29 eV/atom
Energy = -26.07 eV per cell

# 8
A plane-wave DFT calculation with PBE was carried out for crystalline ReOs2Au at its relaxed geometry.

Geometry as POSCAR:
```
ReOs2Au
1.0
4.772 0.004 0.000
-1.528 4.521 0.000
0.000 0.000 2.804
Au Os Re
1 2 1
direct
0.000 0.500 0.500 Au
0.000 0.000 0.000 Os
0.500 0.500 0.000 Os
0.500 0.000 0.500 Re
```

Results
ΔH_f (0 K) = 0.49 eV/atom
Energy = -36.21 eV per cell

# 9
A plane-wave DFT calculation with PBE was carried out for crystalline ReOsAu at its relaxed geometry.

Geometry as POSCAR:
```
ReOsAu
1.0
-2.901 -1.516 2.752
1.170 -1.054 3.975
-1.266 2.396 3.307
Au Os Re
1 1 1
direct
0.500 0.500 0.500 Au
0.750 0.750 0.750 Os
0.000 0.000 0.000 Re
```

Results
ΔH_f (0 K) = 0.91 eV/atom
Energy = -24.23 eV per cell

# 10
A plane-wave DFT calculation with PBE was carried out for crystalline ReOsAu at its relaxed geometry.

Geometry as POSCAR:
```
ReOsAu
1.0
-0.619 2.566 0.906
-1.870 -2.057 0.252
2.627 -1.611 6.356
Au Os Re
1 1 1
direct
0.000 0.000 0.000 Au
0.667 0.333 0.355 Os
0.333 0.667 0.645 Re
```

Results
ΔH_f (0 K) = 0.22 eV/atom
Energy = -26.30 eV per cell

# 11
A plane-wave DFT calculation with PBE was carried out for crystalline ReOs2Au at its relaxed geometry.

Geometry as POSCAR:
```
ReOs2Au
1.0
4.716 0.000 0.000
0.000 2.705 0.042
0.000 0.067 4.878
Au Os Re
1 2 1
direct
0.500 0.750 0.750 Au
0.000 0.022 0.008 Os
0.000 0.478 0.492 Os
0.500 0.250 0.250 Re
```

Results
ΔH_f (0 K) = 0.75 eV/atom
Energy = -35.20 eV per cell

# 12
A plane-wave DFT calculation with PBE was carried out for crystalline ReOs2Au at its relaxed geometry.

Geometry as POSCAR:
```
ReOs2Au
1.0
-1.916 2.031 -0.062
-0.894 -0.919 -2.481
-5.177 -4.772 3.632
Au Os Re
1 2 1
direct
0.500 0.500 0.750 Au
0.000 0.000 0.017 Os
0.000 0.000 0.483 Os
0.500 0.500 0.250 Re
```

Results
ΔH_f (0 K) = 0.35 eV/atom
Energy = -36.77 eV per cell

# 13
A plane-wave DFT calculation with PBE was carried out for crystalline ReOs2Au at its relaxed geometry.

Geometry as POSCAR:
```
ReOs2Au
1.0
-3.980 -0.536 -4.407
-3.606 -4.617 -1.107
2.068 4.470 3.360
Au Os Re
1 2 1
direct
0.218 0.718 0.500 Au
0.969 0.969 0.000 Os
0.767 0.267 0.500 Os
0.547 0.547 0.000 Re
```

Results
ΔH_f (0 K) = 0.60 eV/atom
Energy = -35.78 eV per cell

# 14
A plane-wave DFT calculation with PBE was carried out for crystalline ReOsAu at its relaxed geometry.

Geometry as POSCAR:
```
ReOsAu
1.0
-4.001 5.555 -3.477
-3.573 3.666 -5.412
-2.439 0.007 1.242
Au Os Re
1 1 1
direct
0.000 0.000 0.000 Au
0.323 0.323 0.677 Os
0.677 0.677 0.323 Re
```

Results
ΔH_f (0 K) = 0.55 eV/atom
Energy = -25.31 eV per cell

# 15
A plane-wave DFT calculation with PBE was carried out for crystalline ReOs2Au at its relaxed geometry.

Geometry as POSCAR:
```
ReOs2Au
1.0
-1.881 -1.913 -2.895
-0.547 -2.102 1.744
-5.344 0.376 3.223
Au Os Re
1 2 1
direct
0.500 0.749 0.751 Au
0.000 0.978 0.022 Os
0.500 0.250 0.251 Os
0.000 0.523 0.477 Re
```

Results
ΔH_f (0 K) = 0.41 eV/atom
Energy = -36.56 eV per cell

# 16
A plane-wave DFT calculation with PBE was carried out for crystalline ReOs2Au at its relaxed geometry.

Geometry as POSCAR:
```
ReOs2Au
1.0
-1.744 -2.318 3.921
3.575 -2.009 2.642
-0.698 4.471 -1.821
Au Os Re
1 2 1
direct
0.750 0.250 0.500 Au
0.000 0.000 0.000 Os
0.250 0.750 0.500 Os
0.500 0.500 0.000 Re
```

Results
ΔH_f (0 K) = 0.54 eV/atom
Energy = -36.03 eV per cell

# 17
A plane-wave DFT calculation with PBE was carried out for crystalline ReOs2Au at its relaxed geometry.

Geometry as POSCAR:
```
ReOs2Au
1.0
-1.188 -4.264 -0.470
2.724 -2.856 -2.058
2.086 -3.162 2.337
Au Os Re
1 2 1
direct
0.500 0.500 0.500 Au
0.000 0.000 0.000 Os
0.250 0.250 0.250 Os
0.750 0.750 0.750 Re
```

Results
ΔH_f (0 K) = 0.90 eV/atom
Energy = -34.60 eV per cell

# 18
A plane-wave DFT calculation with PBE was carried out for crystalline ReOs2Au at its relaxed geometry.

Geometry as POSCAR:
```
ReOs2Au
1.0
2.719 0.005 0.000
-1.273 2.403 0.000
0.000 0.000 9.628
Au Os Re
1 2 1
direct
0.500 0.500 0.750 Au
0.000 0.000 0.015 Os
0.500 0.500 0.251 Os
0.000 0.000 0.484 Re
```

Results
ΔH_f (0 K) = 0.64 eV/atom
Energy = -35.63 eV per cell

# 19
A plane-wave DFT calculation with PBE was carried out for crystalline ReOs2Au at its relaxed geometry.

Geometry as POSCAR:
```
ReOs2Au
1.0
0.000 3.143 3.143
3.143 0.000 3.143
3.143 3.143 0.000
Os Au Re
2 1 1
direct
0.250 0.250 0.250 Os
0.750 0.750 0.750 Os
0.500 0.500 0.500 Au
0.000 0.000 0.000 Re
```

Results
ΔH_f (0 K) = 0.79 eV/atom
Energy = -35.02 eV per cell

# 20
A plane-wave DFT calculation with PBE was carried out for crystalline ReOs2Au at its relaxed geometry.

Geometry as POSCAR:
```
ReOs2Au
1.0
-0.009 -0.939 2.557
1.286 -1.477 -1.893
8.136 4.794 1.789
Au Os Re
1 2 1
direct
0.500 0.500 0.750 Au
0.000 0.000 0.017 Os
0.000 0.000 0.483 Os
0.500 0.500 0.250 Re
```

Results
ΔH_f (0 K) = 0.58 eV/atom
Energy = -35.88 eV per cell